Record 1
An optimized crystal structure of In2CoCl. Source: Alexandria via LeMat-Bulk, functional PBE-GGA.

DOS at the Fermi energy (states/eV per cell): 3.9
V (Å³/cell): 87.6
Final energy (eV/atom): -3.28
Distance to the lowest polymorph of the same formula (eV per formula unit): 1.912
Energy relative to the elements, uncorrected (meV per atom): 331

Lattice parameters (Å, degrees): 5.4309 5.4309 5.4309 131.64 131.64 70.79
With the nearest neighbours (Å) after each atom.
Element x y z (fractional)
In 0.2500 0.7500 0.5000  4 Co 3.14, 4 Cl 3.14, 4 In 3.15
In 0.7500 0.2500 0.5000  4 Co 3.14, 4 Cl 3.14, 4 In 3.15
Co 0.0000 0.0000 0.0000  8 In 3.14, 4 Cl 3.15
Cl 0.5000 0.5000 0.0000  8 In 3.14, 4 Co 3.15

Record 2
An optimized crystal structure of InCoCl2. Source: Alexandria via LeMat-Bulk, functional PBE-GGA.

DOS at the Fermi energy (states/eV per cell): 3.9
V (Å³/cell): 94.2
Final energy (eV/atom): -3.72
Distance to the lowest polymorph of the same formula (eV per formula unit): 0.426
Energy relative to the elements, uncorrected (meV per atom): -331

Lattice parameters (Å, degrees): 5.9608 5.9608 5.9608 147.09 124.03 66.48
With the nearest neighbours (Å) after each atom.
Element x y z (fractional)
In 0.0000 0.0000 0.0000  4 Cl 3.24, 4 Co 3.27, 2 In 3.38
Co 0.5000 0.5000 0.0000  4 Cl 2.35
Cl 0.3363 0.8363 0.5000  2 Co 2.35
Cl 0.6637 0.1637 0.5000  2 Co 2.35

Record 3
An optimized crystal structure of InCoCl. Source: Alexandria via LeMat-Bulk, functional PBE-GGA.

DOS at the Fermi energy (states/eV per cell): 2.1
V (Å³/cell): 65.5
Final energy (eV/atom): -3.88
Energy relative to the elements, uncorrected (meV per atom): 22

Lattice parameters (Å, degrees): 3.2822 3.2822 7.0196 90.00 90.00 120.00
With the nearest neighbours (Å) after each atom.
Element x y z (fractional)
In 0.0000 0.0000 0.0000  3 Co 2.81
Co 0.3333 0.6667 0.7039  3 Cl 2.31
Cl 0.6667 0.3333 0.5156  3 Co 2.31

Record 4
An optimized crystal structure of InCoCl2. Source: Alexandria via LeMat-Bulk, functional PBE-GGA.

DOS at the Fermi energy (states/eV per cell): 7.4
V (Å³/cell): 95.1
Final energy (eV/atom): -3.29
Distance to the lowest polymorph of the same formula (eV per formula unit): 2.109
Energy relative to the elements, uncorrected (meV per atom): 90

Lattice parameters (Å, degrees): 5.0036 5.0036 5.0003 113.92 113.92 100.62
With the nearest neighbours (Å) after each atom.
Element x y z (fractional)
In 0.0000 0.0000 0.0000  4 Cl 2.73
Co 0.5000 0.5000 0.0000  4 Cl 2.73
Cl 0.0000 0.5000 0.5000  2 In 2.73, 2 Co 2.73
Cl 0.5000 0.0000 0.5000  2 In 2.73, 2 Co 2.73

Record 5
An optimized crystal structure of InCo3Cl. Source: Alexandria via LeMat-Bulk, functional PBE-GGA.

DOS at the Fermi energy (states/eV per cell): 13.1
V (Å³/cell): 116.3
Final energy (eV/atom): -3.66
Distance to the lowest polymorph of the same formula (eV per formula unit): 4.365
Energy relative to the elements, uncorrected (meV per atom): 1520

Lattice parameters (Å, degrees): 4.8817 4.8817 4.8817 90.00 90.00 90.00
With the nearest neighbours (Å) after each atom.
Element x y z (fractional)
In 0.0000 0.0000 0.0000  6 Co 2.44
Co 0.0000 0.0000 0.5000  2 In 2.44
Co 0.0000 0.5000 0.0000  2 In 2.44
Co 0.5000 0.0000 0.0000  2 In 2.44
Cl 0.5000 0.5000 0.5000  12 Co 3.45

Record 6
An optimized crystal structure of In2CoCl. Source: Alexandria via LeMat-Bulk, functional PBE-GGA.

DOS at the Fermi energy (states/eV per cell): 3.2
V (Å³/cell): 84.6
Final energy (eV/atom): -3.58
Distance to the lowest polymorph of the same formula (eV per formula unit): 0.711
Energy relative to the elements, uncorrected (meV per atom): 31

Lattice parameters (Å, degrees): 6.0896 6.0896 6.0896 151.25 128.29 60.24
With the nearest neighbours (Å) after each atom.
Element x y z (fractional)
In 0.0000 0.0000 0.0000  4 In 3.02-3.37, 4 Co 3.06, 2 Cl 3.20
In 0.7140 0.2140 0.5000  2 Co 2.70, 2 In 3.02
Co 0.5017 0.5017 0.0000  2 Cl 2.35
Cl 0.3305 0.8305 0.5000  2 Co 2.35

Record 7
An optimized crystal structure of InCoCl2. Source: Alexandria via LeMat-Bulk, functional PBE-GGA.

DOS at the Fermi energy (states/eV per cell): 1.7
V (Å³/cell): 188.2
Final energy (eV/atom): -3.74
Distance to the lowest polymorph of the same formula (eV per formula unit): 0.339
Energy relative to the elements, uncorrected (meV per atom): -353

Lattice parameters (Å, degrees): 6.2895 6.2895 6.2895 105.32 105.32 118.14
With the nearest neighbours (Å) after each atom.
Element x y z (fractional)
In 0.0000 0.0000 0.0000  2 Co 3.23, 8 Cl 3.25-3.48
In 0.7500 0.2500 0.5000  2 Co 3.23, 8 Cl 3.25-3.48
Co 0.2500 0.7500 0.5000  4 Cl 2.31
Co 0.5000 0.5000 0.0000  4 Cl 2.31
Cl 0.2411 0.6250 0.1161  2 Co 2.31
Cl 0.3750 0.4911 0.6161  2 Co 2.31
Cl 0.5089 0.1250 0.8839  2 Co 2.31
Cl 0.8750 0.7589 0.3839  2 Co 2.31

Record 8
An optimized crystal structure of In2CoCl. Source: Alexandria via LeMat-Bulk, functional PBE-GGA.

DOS at the Fermi energy (states/eV per cell): 3.3
V (Å³/cell): 87.7
Final energy (eV/atom): -3.51
Distance to the lowest polymorph of the same formula (eV per formula unit): 0.990
Energy relative to the elements, uncorrected (meV per atom): 101

Lattice parameters (Å, degrees): 3.0945 3.0945 9.1570 90.00 90.00 90.00
With the nearest neighbours (Å) after each atom.
Element x y z (fractional)
In 0.0000 0.0000 0.0000  4 Co 2.89, 4 In 3.09, 1 Cl 3.20
In 0.5000 0.5000 0.2958  4 In 3.09
Co 0.5000 0.5000 0.7941  4 Cl 2.55
Cl 0.0000 0.0000 0.6502  4 Co 2.55

Record 9
An optimized crystal structure of In4CoCl2. Source: Alexandria via LeMat-Bulk, functional PBE-GGA.

DOS at the Fermi energy (states/eV per cell): 3.8
V (Å³/cell): 199.3
Final energy (eV/atom): -3.45
Energy relative to the elements, uncorrected (meV per atom): -344

Lattice parameters (Å, degrees): 8.7881 8.7881 8.7881 147.12 147.12 47.19
With the nearest neighbours (Å) after each atom.
Element x y z (fractional)
In 0.0000 0.5000 0.5000  2 Co 2.49
In 0.1529 0.1529 0.0000  1 Co 2.46, 1 Cl 2.61
In 0.5000 0.0000 0.5000  2 Co 2.49
In 0.8471 0.8471 0.0000  1 Co 2.46, 1 Cl 2.61
Co 0.0000 0.0000 0.0000  6 In 2.46-2.49
Cl 0.3151 0.3151 0.0000  1 In 2.61
Cl 0.6849 0.6849 0.0000  1 In 2.61

Record 10
An optimized crystal structure of InCoCl. Source: Alexandria via LeMat-Bulk, functional PBE-GGA.

DOS at the Fermi energy (states/eV per cell): 4.4
V (Å³/cell): 58.1
Final energy (eV/atom): -3.74
Energy relative to the elements, uncorrected (meV per atom): 158

Lattice parameters (Å, degrees): 6.1365 6.1365 6.1365 149.85 149.85 43.16
With the nearest neighbours (Å) after each atom.
Element x y z (fractional)
In 0.0000 0.0000 0.0000  4 Co 2.72, 1 Cl 3.02
Co 0.3666 0.3666 0.0000  4 Cl 2.71, 4 In 2.72
Cl 0.7358 0.7358 0.0000  4 Co 2.71, 1 In 3.02

Record 11
An optimized crystal structure of In2CoCl. Source: Alexandria via LeMat-Bulk, functional PBE-GGA.

DOS at the Fermi energy (states/eV per cell): 3.7
V (Å³/cell): 92.8
Final energy (eV/atom): -3.32
Distance to the lowest polymorph of the same formula (eV per formula unit): 1.726
Energy relative to the elements, uncorrected (meV per atom): 285

Lattice parameters (Å, degrees): 3.1942 4.7069 6.1720 90.00 90.00 90.00
With the nearest neighbours (Å) after each atom.
Element x y z (fractional)
In 0.0000 0.0000 0.0000  4 Cl 2.84
In 0.5000 0.0000 0.5000  4 Co 2.84
Co 0.0000 0.5000 0.5000  4 In 2.84
Cl 0.5000 0.5000 0.0000  4 In 2.84

Record 12
An optimized crystal structure of InCoCl. Source: Alexandria via LeMat-Bulk, functional PBE-GGA.

DOS at the Fermi energy (states/eV per cell): 2.8
V (Å³/cell): 56.2
Final energy (eV/atom): -3.64
Energy relative to the elements, uncorrected (meV per atom): 259

Lattice parameters (Å, degrees): 4.1830 4.1830 3.7095 90.00 90.00 120.00
With the nearest neighbours (Å) after each atom.
Element x y z (fractional)
In 0.0000 0.0000 0.0000  6 Cl 3.05, 6 Co 3.05
Co 0.3333 0.6667 0.5000  3 Cl 2.42
Cl 0.6667 0.3333 0.5000  3 Co 2.42

Record 13
An optimized crystal structure of InCoCl2. Source: Alexandria via LeMat-Bulk, functional PBE-GGA.

DOS at the Fermi energy (states/eV per cell): 2.4
V (Å³/cell): 97.6
Final energy (eV/atom): -3.33
Distance to the lowest polymorph of the same formula (eV per formula unit): 1.972
Energy relative to the elements, uncorrected (meV per atom): 56

Lattice parameters (Å, degrees): 4.5765 3.6702 5.8124 90.00 90.25 90.00
With the nearest neighbours (Å) after each atom.
Element x y z (fractional)
In 0.0000 0.0000 0.0000  6 Cl 2.91-2.93
Co 0.5000 0.5000 0.5000  6 Cl 2.91-2.93
Cl 0.0000 0.0000 0.5000  2 In 2.91, 4 Co 2.93
Cl 0.5000 0.5000 0.0000  2 Co 2.91, 4 In 2.93

Record 14
An optimized crystal structure of In2CoCl. Source: Alexandria via LeMat-Bulk, functional PBE-GGA.

DOS at the Fermi energy (states/eV per cell): 9.2
V (Å³/cell): 87.7
Final energy (eV/atom): -3.15
Distance to the lowest polymorph of the same formula (eV per formula unit): 2.402
Energy relative to the elements, uncorrected (meV per atom): 454

Lattice parameters (Å, degrees): 4.9870 4.9870 4.9870 60.00 60.00 60.00
With the nearest neighbours (Å) after each atom.
Element x y z (fractional)
In 0.0000 0.0000 0.0000  4 Cl 3.05, 4 In 3.05
In 0.2500 0.2500 0.2500  4 In 3.05, 4 Co 3.05
Co 0.5000 0.5000 0.5000  4 In 3.05, 4 Cl 3.05
Cl 0.7500 0.7500 0.7500  4 In 3.05, 4 Co 3.05

Record 15
An optimized crystal structure of InCoCl2. Source: Alexandria via LeMat-Bulk, functional PBE-GGA.

DOS at the Fermi energy (states/eV per cell): 5.6
V (Å³/cell): 93.5
Final energy (eV/atom): -3.71
Distance to the lowest polymorph of the same formula (eV per formula unit): 0.432
Energy relative to the elements, uncorrected (meV per atom): -329

Lattice parameters (Å, degrees): 5.5276 3.4031 5.5488 90.00 116.36 90.00
With the nearest neighbours (Å) after each atom.
Element x y z (fractional)
In 0.0000 0.0000 0.0000  2 Co 2.92
Co 0.5000 0.0000 0.5000  4 Cl 2.32
Cl 0.3325 0.5000 0.6687  2 Co 2.32
Cl 0.6675 0.5000 0.3313  2 Co 2.32

Record 16
An optimized crystal structure of In2CoCl. Source: Alexandria via LeMat-Bulk, functional PBE-GGA.

DOS at the Fermi energy (states/eV per cell): 2.8
V (Å³/cell): 80.6
Final energy (eV/atom): -3.55
Distance to the lowest polymorph of the same formula (eV per formula unit): 0.832
Energy relative to the elements, uncorrected (meV per atom): 61

Lattice parameters (Å, degrees): 5.1794 5.1794 3.0051 90.73 90.73 89.91
With the nearest neighbours (Å) after each atom.
Element x y z (fractional)
In 0.0000 0.5000 0.0000  4 Cl 2.98-3.01, 4 Co 2.98-3.01, 2 In 3.01
In 0.5000 0.0000 0.0000  4 Cl 2.98-3.01, 4 Co 2.98-3.01, 2 In 3.01
Co 0.0000 0.0000 0.5000  8 In 2.98-3.01, 2 Co 3.01
Cl 0.5000 0.5000 0.5000  8 In 2.98-3.01, 2 Cl 3.01

Record 17
An optimized crystal structure of InCoCl2. Source: Alexandria via LeMat-Bulk, functional PBE-GGA.

DOS at the Fermi energy (states/eV per cell): 2.9
V (Å³/cell): 85.9
Final energy (eV/atom): -3.47
Distance to the lowest polymorph of the same formula (eV per formula unit): 1.397
Energy relative to the elements, uncorrected (meV per atom): -88

Lattice parameters (Å, degrees): 3.1503 3.1503 8.6525 90.00 90.00 90.00
With the nearest neighbours (Å) after each atom.
Element x y z (fractional)
In 0.0000 0.0000 0.0000  4 In 3.15
Co 0.0000 0.0000 0.5000  8 Cl 2.68
Cl 0.5000 0.5000 0.3275  4 Co 2.68, 1 Cl 2.98
Cl 0.5000 0.5000 0.6725  4 Co 2.68, 1 Cl 2.98

Record 18
An optimized crystal structure of InCoCl2. Source: Alexandria via LeMat-Bulk, functional PBE-GGA.

DOS at the Fermi energy (states/eV per cell): 6.1
V (Å³/cell): 92.9
Final energy (eV/atom): -3.78
Distance to the lowest polymorph of the same formula (eV per formula unit): 0.161
Energy relative to the elements, uncorrected (meV per atom): -397

Lattice parameters (Å, degrees): 9.0994 9.0994 9.0994 22.03 22.03 22.03
With the nearest neighbours (Å) after each atom.
Element x y z (fractional)
In 0.0000 0.0000 0.0000  2 Cl 3.05
Co 0.5000 0.5000 0.5000  6 Cl 2.44
Cl 0.1147 0.1147 0.1147  3 Co 2.44
Cl 0.8853 0.8853 0.8853  3 Co 2.44

Record 19
An optimized crystal structure of InCoCl. Source: Alexandria via LeMat-Bulk, functional PBE-GGA.

DOS at the Fermi energy (states/eV per cell): 2.3
V (Å³/cell): 62.7
Final energy (eV/atom): -3.74
Energy relative to the elements, uncorrected (meV per atom): 154

Lattice parameters (Å, degrees): 7.0429 6.9651 3.0782 78.72 75.90 25.38
With the nearest neighbours (Å) after each atom.
Element x y z (fractional)
In 0.0000 0.0000 0.0000  4 Co 2.94-3.12, 4 In 3.08, 1 Cl 3.27
Co 0.6579 0.6579 0.3421  4 Cl 2.36-2.58
Cl 0.2455 0.2455 0.7545  4 Co 2.36-2.58

Record 20
An optimized crystal structure of InCoCl2. Source: Alexandria via LeMat-Bulk, functional PBE-GGA.

DOS at the Fermi energy (states/eV per cell): 4.1
V (Å³/cell): 98.8
Final energy (eV/atom): -3.61
Distance to the lowest polymorph of the same formula (eV per formula unit): 0.846
Energy relative to the elements, uncorrected (meV per atom): -226

Lattice parameters (Å, degrees): 3.5865 3.5865 9.0888 90.00 90.00 122.34
With the nearest neighbours (Å) after each atom.
Element x y z (fractional)
In 0.0000 0.0000 0.0000  2 Cl 2.60, 2 Co 2.70
Co 0.5000 0.5000 0.7717  2 Cl 2.25
Cl 0.0000 0.0000 0.6126  2 Co 2.25
Cl 0.5000 0.5000 0.2141  2 In 2.60